a | MgMn4O8: optimized geometry, GGA+U.

Values from the calculation:
The mass density comes out at 4.00 g/cm3. The symmetry is No. 166. As for the density of states at the Fermi level: 1.6 states/eV/f.u.

Structure (POSCAR):
```
MgMn4O8
1.0
2.9952 1.7293 4.9678
-2.9952 1.7293 4.9678
0.0000 -3.4586 4.9678
Mg Mn O
1 4 8
Direct
0.0000 0.0000 0.0000
0.0000 0.0000 0.5000
0.0000 0.5000 0.0000
0.5000 0.0000 0.0000
0.5000 0.5000 0.5000
0.2027 0.7529 0.7529
0.2325 0.2325 0.2325
0.2471 0.2471 0.7973
0.2471 0.7973 0.2471
0.7529 0.2027 0.7529
0.7529 0.7529 0.2027
0.7675 0.7675 0.7675
0.7973 0.2471 0.2471
```

b | MgMn4O8: optimized geometry, GGA+U.

Values from the calculation:
The mass density comes out at 4.08 g/cm3. The symmetry is No. 8. As for the density of states at the Fermi level: 3.0 states/eV/f.u.

Structure (POSCAR):
```
MgMn4O8
1.0
7.1074 -1.4980 0.0000
7.1074 1.4980 0.0000
-6.2683 0.0000 7.1061
Mg Mn O
1 4 8
Direct
0.0000 0.0000 0.0000
0.0092 0.0092 0.6959
0.2932 0.2932 0.6305
0.4953 0.4953 0.3486
0.8017 0.8017 0.9819
0.1109 0.1109 0.4366
0.1900 0.1900 0.8993
0.4519 0.4519 0.0973
0.4959 0.4959 0.8448
0.5101 0.5101 0.5674
0.8013 0.8013 0.7745
0.8205 0.8205 0.5283
0.8726 0.8726 0.2370
```

c | MgMn4O8: optimized geometry, GGA+U.

Values from the calculation:
The mass density comes out at 4.05 g/cm3. The symmetry is No. 2.

Structure (POSCAR):
```
MgMn4O8
1.0
5.2787 0.0000 0.0000
1.8120 5.5315 0.0000
0.0420 2.9012 5.2195
Mg Mn O
1 4 8
Direct
0.0000 0.0000 0.0000
0.4581 0.5158 0.7430
0.4978 0.0016 0.7462
0.5022 0.9984 0.2538
0.5419 0.4842 0.2570
0.2814 0.7690 0.8655
0.2840 0.2193 0.9028
0.2958 0.7565 0.3352
0.3189 0.2335 0.3927
0.6811 0.7665 0.6073
0.7042 0.2435 0.6648
0.7160 0.7807 0.0972
0.7186 0.2310 0.1345
```

d | MgMn4O8: optimized geometry, GGA+U.

Values from the calculation:
The mass density comes out at 4.30 g/cm3. The symmetry is No. 12. As for the density of states at the Fermi level: 3.5 states/eV/f.u.

Structure (POSCAR):
```
MgMn4O8
1.0
4.5459 -3.2496 0.0000
4.5459 3.2496 0.0000
-1.5275 0.0000 4.8653
Mg Mn O
1 4 8
Direct
0.0000 0.0000 0.0000
0.2408 0.7592 0.5000
0.3437 0.3437 0.7976
0.6563 0.6563 0.2024
0.7592 0.2408 0.5000
0.0890 0.6498 0.7367
0.1201 0.1201 0.7217
0.3502 0.9110 0.2633
0.4370 0.4370 0.2460
0.5630 0.5630 0.7540
0.6498 0.0890 0.7367
0.8799 0.8799 0.2783
0.9110 0.3502 0.2633
```

The most stable arrangement is c, and the next structure is 0.018 eV/atom less stable.

a | Mg2Mn2O5: optimized geometry, GGA+U.

Values from the calculation:
The mass density comes out at 4.40 g/cm3. The symmetry is No. 64. As for the density of states at the Fermi level: 5.0 states/eV/f.u.

Structure (POSCAR):
```
Mg2Mn2O5
1.0
5.1485 -2.9769 0.0000
5.1485 2.9769 0.0000
0.0000 0.0000 5.8762
Mg Mn O
4 4 10
Direct
0.1815 0.8185 0.8397
0.3185 0.6815 0.3397
0.6815 0.3185 0.6603
0.8185 0.1815 0.1603
0.2007 0.2007 0.5000
0.2993 0.2993 0.0000
0.7007 0.7007 0.0000
0.7993 0.7993 0.5000
0.0000 0.0000 0.5000
0.0379 0.6810 0.1232
0.1810 0.5379 0.6232
0.3190 0.9621 0.1232
0.4621 0.8190 0.6232
0.5000 0.5000 0.0000
0.5379 0.1810 0.3768
0.6810 0.0379 0.8768
0.8190 0.4621 0.3768
0.9621 0.3190 0.8768
```

b | Mg2Mn2O5: optimized geometry, GGA+U.

Values from the calculation:
The mass density comes out at 3.83 g/cm3. The symmetry is No. 55. As for the density of states at the Fermi level: 0.3 states/eV/f.u.

Structure (POSCAR):
```
Mg2Mn2O5
1.0
5.3766 0.0000 0.0000
0.0000 10.5211 0.0000
0.0000 0.0000 3.6524
Mg Mn O
4 4 10
Direct
0.2268 0.1000 0.0000
0.2732 0.6000 0.0000
0.7268 0.4000 0.0000
0.7732 0.9000 0.0000
0.2309 0.8679 0.5000
0.2691 0.3679 0.5000
0.7309 0.6321 0.5000
0.7691 0.1321 0.5000
0.0000 0.5000 0.5000
0.1283 0.1853 0.5000
0.1770 0.9072 0.0000
0.3230 0.4072 0.0000
0.3717 0.6853 0.5000
0.5000 0.0000 0.5000
0.6283 0.3147 0.5000
0.6770 0.5928 0.0000
0.8230 0.0928 0.0000
0.8717 0.8147 0.5000
```

c | Mg2Mn2O5: optimized geometry, GGA+U.

Values from the calculation:
The mass density comes out at 4.01 g/cm3. The symmetry is No. 46. As for the density of states at the Fermi level: 1.9 states/eV/f.u.

Structure (POSCAR):
```
Mg2Mn2O5
1.0
-7.1334 2.6058 2.6550
7.1334 -2.6058 2.6550
7.1334 2.6058 -2.6550
Mg Mn O
4 4 10
Direct
0.0009 0.1210 0.1219
0.0009 0.3790 0.3798
0.9991 0.6210 0.6202
0.9991 0.8790 0.8781
0.4430 0.4430 0.0000
0.4430 0.9430 0.5000
0.5029 0.7703 0.2326
0.5377 0.2703 0.7674
0.0061 0.6562 0.8499
0.2496 0.0092 0.4924
0.2496 0.2572 0.7404
0.4672 0.1533 0.2218
0.4672 0.7453 0.8139
0.5168 0.5092 0.2596
0.5168 0.7572 0.5076
0.8063 0.1562 0.1501
0.9314 0.2453 0.7782
0.9314 0.6533 0.1861
```

The most stable arrangement is c, and the next structure is 0.097 eV/atom less stable.

a | MgMn3O: optimized geometry, GGA+U.

Values from the calculation:
The mass density comes out at 3.95 g/cm3. The symmetry is No. 221. As for the density of states at the Fermi level: 2.1 states/eV/f.u.

Structure (POSCAR):
```
MgMn3O
1.0
4.4178 0.0000 0.0000
0.0000 4.4178 0.0000
0.0000 0.0000 4.4178
Mg Mn O
1 3 1
Direct
0.0000 0.0000 0.0000
0.0000 0.5000 0.5000
0.5000 0.0000 0.5000
0.5000 0.5000 0.0000
0.5000 0.5000 0.5000
```

b | MgMn3O: optimized geometry, GGA+U.

Values from the calculation:
The mass density comes out at 2.47 g/cm3. The symmetry is No. 221. As for the density of states at the Fermi level: 4.5 states/eV/f.u.

Structure (POSCAR):
```
MgMn3O
1.0
5.1648 0.0000 0.0000
0.0000 5.1648 0.0000
0.0000 0.0000 5.1648
Mg Mn O
1 3 1
Direct
0.0000 0.0000 0.0000
0.0000 0.0000 0.5000
0.0000 0.5000 0.0000
0.5000 0.0000 0.0000
0.5000 0.5000 0.5000
```

The most stable arrangement is a, and the next structure is 1.589 eV/atom less stable.